PaNi12As6: relaxed, PBE.

Summary:
V = 14.1 Å³/atom
DFT formation energy = -0.20 eV/atom
Density of states at the Fermi level = 11.8 states/eV/cell

abc: 6.679 6.679 6.679
angles: 103.43 103.43 103.43
Fractional positions:
Pa 0.000 0.000 0.000
Ni 0.874 0.126 0.500
Ni 0.878 0.637 0.637
Ni 0.637 0.637 0.878
Ni 0.363 0.122 0.363
Ni 0.363 0.363 0.122
Ni 0.122 0.363 0.363
Ni 0.126 0.500 0.874
Ni 0.500 0.874 0.126
Ni 0.126 0.874 0.500
Ni 0.874 0.500 0.126
Ni 0.500 0.126 0.874
Ni 0.637 0.878 0.637
As 0.672 0.247 0.247
As 0.247 0.247 0.672
As 0.247 0.672 0.247
As 0.753 0.753 0.328
As 0.328 0.753 0.753
As 0.753 0.328 0.753